Density functional theory data (PBE) for Tb3Dy4Y after structural relaxation.

Results
For the energy above the most stable polymorph in this dataset, the calculation gives 0.160 eV/atom. As for the formation energy from the elements: 0.168 eV per atom.

Cell: 3.4852 6.6620 22.4495 Å, 90.00 90.00 90.00°
Last column: nearest neighbours and their distance in Å.
Space group Immm (No. 71)
Inequivalent atoms, fractional coordinates:
Tb (0.0000, 0.0000, 0.0000) x2  2 Tb 3.49, 8 Dy 3.68, 4 Y 3.76
Tb (0.0000, 0.0000, 0.2395) x4  6 Tb 3.49-3.79, 6 Dy 3.49-3.51
Dy (0.0000, 0.2559, 0.3750) x8  4 Dy 3.25-3.49, 1 Y 3.28, 3 Tb 3.49-3.51
Y (0.0000, 0.0000, 0.5000) x2  4 Dy 3.28, 2 Y 3.49


Density functional theory data (PBE) for CaCuH4 after structural relaxation.

Cell: 6.3639 4.8236 4.3474 Å, 90.00 111.57 90.00°
Last column: nearest neighbours and their distance in Å.
Space group C2 (No. 5)
Inequivalent atoms, fractional coordinates:
Ca (0.0000, 0.0000, 0.0000) x2  8 H 2.23-2.47
Cu (0.0000, 0.4518, 0.5000) x2  4 H 1.58-1.60
H (0.1377, 0.6576, 0.7858) x4  1 Cu 1.58
H (0.1786, 0.2101, 0.6624) x4  1 Cu 1.60


Density functional theory data (PBE) for PaTc3B after structural relaxation.

Results
As for the formation energy from the elements: -0.302 eV per atom.

Cell: 4.2434 4.2434 4.2434 Å, 90.00 90.00 90.00°
Last column: nearest neighbours and their distance in Å.
Space group Pm-3m (No. 221)
Inequivalent atoms, fractional coordinates:
Pa (0.0000, 0.0000, 0.0000) x1  12 Tc 3.00
Tc (0.0000, 0.5000, 0.5000) x3  2 B 2.12
B (0.5000, 0.5000, 0.5000) x1  6 Tc 2.12


no.,energy (eV per cell),ρ (g/cm3)
1,-74.84,7.75
2,-40.51,2.88
3,-48.78,11.65